No. 1
VASP calculation (PBE-GGA) on an optimized crystal structure of Hf6Bi3Pb.

Calculated values
The total magnetization comes out at 0.0 Bohr magnetons per cell. The formation energy is 15 kJ/mol of formula units.

Cell lengths 7.7019, 8.5139, 8.5139 Å; angles 115.90, 90.00, 90.00 degrees
Last column: nearest neighbours and their distance in Å.
Atoms (fractional coordinates):
Hf (0.2833, 0.9551, 0.0449)  4 Bi 3.12-3.21, 1 Pb 3.16, 2 Hf 3.18
Hf (0.6133, 0.6063, 0.7844)  4 Bi 2.92-3.26, 3 Hf 3.01-3.16, 1 Pb 3.06
Hf (0.0116, 0.7493, 0.2507)  6 Hf 2.98-3.09, 3 Bi 3.01-3.04, 1 Pb 3.29
Hf (0.6133, 0.2156, 0.3937)  4 Bi 2.92-3.26, 3 Hf 3.01-3.16, 1 Pb 3.06
Hf (0.8026, 0.0075, 0.5675)  5 Hf 2.98-3.18, 3 Bi 3.06-3.32, 2 Pb 3.07-3.33
Hf (0.1133, 0.3937, 0.2156)  4 Bi 2.92-3.26, 3 Hf 3.01-3.16, 1 Pb 3.06
Hf (0.8026, 0.4325, 0.9925)  5 Hf 2.98-3.18, 3 Bi 3.06-3.32, 2 Pb 3.07-3.33
Hf (0.7833, 0.0449, 0.9551)  4 Bi 3.12-3.21, 1 Pb 3.16, 2 Hf 3.18
Hf (0.5116, 0.2507, 0.7493)  6 Hf 2.98-3.09, 3 Bi 3.01-3.04, 1 Pb 3.29
Hf (0.3026, 0.5675, 0.0075)  5 Hf 2.98-3.18, 3 Bi 3.06-3.32, 2 Pb 3.07-3.33
Hf (0.3026, 0.9925, 0.4325)  5 Hf 2.98-3.18, 3 Bi 3.06-3.32, 2 Pb 3.07-3.33
Hf (0.1133, 0.7844, 0.6063)  4 Bi 2.92-3.26, 3 Hf 3.01-3.16, 1 Pb 3.06
Pb (0.6051, 0.8192, 0.1808)  8 Hf 3.06-3.33
Pb (0.1051, 0.1808, 0.8192)  8 Hf 3.06-3.33
Bi (0.7859, 0.5767, 0.4233)  7 Hf 3.04-3.32
Bi (0.4839, 0.8750, 0.6876)  7 Hf 2.92-3.21
Bi (0.9839, 0.6876, 0.8750)  7 Hf 2.92-3.21
Bi (0.9839, 0.1250, 0.3124)  7 Hf 2.92-3.21
Bi (0.4839, 0.3124, 0.1250)  7 Hf 2.92-3.21
Bi (0.2859, 0.4233, 0.5767)  7 Hf 3.04-3.32

***

No. 2
VASP calculation (PBE-GGA) on an optimized crystal structure of HfBi3Pb.

Calculated values
Its energy above the lowest structure with this stoichiometry is 960 meV/atom. The total magnetization comes out at 0.0 Bohr magnetons per cell. The formation energy is 610 kJ/mol of formula units.

Cell lengths 5.7685, 5.7685, 5.7685 Å; angles 90.00, 90.00, 90.00 degrees
Last column: nearest neighbours and their distance in Å.
Atoms (fractional coordinates):
Hf (0.5000, 0.5000, 0.5000)  12 Bi 4.08
Bi (0.5000, 0.0000, 0.0000)  2 Pb 2.88
Bi (0.0000, 0.0000, 0.5000)  2 Pb 2.88
Bi (0.0000, 0.5000, 0.0000)  2 Pb 2.88
Pb (0.0000, 0.0000, 0.0000)  6 Bi 2.88

***

No. 3
VASP calculation (PBE-GGA) on an optimized crystal structure of Hf2BiPb.

Calculated values
Its energy above the lowest structure with this stoichiometry is 692 meV/atom. The total magnetization comes out at 0.0 Bohr magnetons per cell. The formation energy is 310 kJ/mol of formula units.

Cell lengths 6.6113, 6.6113, 8.1335 Å; angles 66.02, 66.02, 90.00 degrees
Last column: nearest neighbours and their distance in Å.
Atoms (fractional coordinates):
Pb (0.2500, 0.7500, 0.5000)  4 Hf 2.84
Pb (0.5000, 0.5000, 0.0000)  4 Hf 2.84
Hf (0.8750, 0.8662, 0.7500)  2 Pb 2.84, 2 Bi 2.90
Hf (0.3750, 0.3838, 0.7500)  2 Pb 2.84, 2 Bi 2.90
Hf (0.6162, 0.1250, 0.2500)  2 Pb 2.84, 2 Bi 2.90
Hf (0.1338, 0.6250, 0.2500)  2 Pb 2.84, 2 Bi 2.90
Bi (0.0000, 0.0000, 0.0000)  4 Hf 2.90
Bi (0.7500, 0.2500, 0.5000)  4 Hf 2.90

***

No. 4
VASP calculation (PBE-GGA) on an optimized crystal structure of Hf6BiPb3.

Calculated values
The total magnetization comes out at 0.0 Bohr magnetons per cell. The formation energy is 67 kJ/mol of formula units.

Cell lengths 7.6870, 8.4921, 8.4921 Å; angles 116.57, 90.00, 90.00 degrees
Last column: nearest neighbours and their distance in Å.
Atoms (fractional coordinates):
Hf (0.3011, 0.9821, 0.4231)  5 Hf 2.97-3.21, 2 Pb 3.03-3.10, 1 Bi 3.03
Hf (0.7869, 0.0425, 0.9575)  4 Pb 3.14-3.21, 2 Hf 3.15, 1 Bi 3.20
Hf (0.6153, 0.2168, 0.3954)  4 Pb 2.93-3.14, 3 Hf 2.98-3.21, 1 Bi 3.05
Hf (0.1153, 0.3954, 0.2168)  4 Pb 2.93-3.14, 3 Hf 2.98-3.21, 1 Bi 3.05
Hf (0.0018, 0.7458, 0.2542)  6 Hf 2.97-3.09, 3 Pb 3.05-3.07, 1 Bi 3.19
Hf (0.1153, 0.7832, 0.6046)  4 Pb 2.93-3.14, 3 Hf 2.98-3.21, 1 Bi 3.05
Hf (0.3011, 0.5769, 0.0179)  5 Hf 2.97-3.21, 2 Pb 3.03-3.10, 1 Bi 3.03
Hf (0.2869, 0.9575, 0.0425)  4 Pb 3.14-3.21, 2 Hf 3.15, 1 Bi 3.20
Hf (0.8011, 0.0179, 0.5769)  5 Hf 2.97-3.21, 2 Pb 3.03-3.10, 1 Bi 3.03
Hf (0.8011, 0.4231, 0.9821)  5 Hf 2.97-3.21, 2 Pb 3.03-3.10, 1 Bi 3.03
Hf (0.6153, 0.6046, 0.7832)  4 Pb 2.93-3.14, 3 Hf 2.98-3.21, 1 Bi 3.05
Hf (0.5018, 0.2542, 0.7458)  6 Hf 2.97-3.09, 3 Pb 3.05-3.07, 1 Bi 3.19
Pb (0.2808, 0.4310, 0.5690)  5 Hf 3.07-3.14, 2 Pb 3.37
Pb (0.4871, 0.8716, 0.6820)  7 Hf 2.93-3.21
Pb (0.9871, 0.1284, 0.3180)  7 Hf 2.93-3.21
Pb (0.9871, 0.6820, 0.8716)  7 Hf 2.93-3.21
Pb (0.4871, 0.3180, 0.1284)  7 Hf 2.93-3.21
Pb (0.7808, 0.5690, 0.4310)  5 Hf 3.07-3.14, 2 Pb 3.37
Bi (0.1088, 0.1830, 0.8170)  8 Hf 3.03-3.34
Bi (0.6088, 0.8170, 0.1830)  8 Hf 3.03-3.34

***

No. 5
VASP calculation (PBE-GGA) on an optimized crystal structure of Hf2BiPb.

Calculated values
Its energy above the lowest structure with this stoichiometry is 0 meV/atom. The total magnetization comes out at 0.0 Bohr magnetons per cell. The formation energy is 43 kJ/mol of formula units.

Cell lengths 3.2695, 5.4239, 5.4239 Å; angles 90.00, 90.00, 90.00 degrees
Last column: nearest neighbours and their distance in Å.
Atoms (fractional coordinates):
Hf (0.0000, 0.5000, 0.0000)  4 Pb 3.17, 4 Bi 3.17, 2 Hf 3.27
Hf (0.0000, 0.0000, 0.5000)  4 Bi 3.17, 4 Pb 3.17, 2 Hf 3.27
Pb (0.5000, 0.0000, 0.0000)  8 Hf 3.17, 2 Pb 3.27
Bi (0.5000, 0.5000, 0.5000)  8 Hf 3.17, 2 Bi 3.27

***

No. 6
VASP calculation (PBE-GGA) on an optimized crystal structure of Hf2BiPb.

Calculated values
Its energy above the lowest structure with this stoichiometry is 35 meV/atom. The total magnetization comes out at 0.0 Bohr magnetons per cell. The formation energy is 56 kJ/mol of formula units.

Cell lengths 5.1363, 5.1363, 5.1363 Å; angles 60.00, 60.00, 60.00 degrees
Last column: nearest neighbours and their distance in Å.
Atoms (fractional coordinates):
Hf (0.7500, 0.7500, 0.7500)  4 Bi 3.15, 4 Pb 3.15
Hf (0.2500, 0.2500, 0.2500)  4 Bi 3.15, 4 Pb 3.15
Bi (0.5000, 0.5000, 0.5000)  8 Hf 3.15
Pb (0.0000, 0.0000, 0.0000)  8 Hf 3.15

***

No. 7
VASP calculation (PBE-GGA) on an optimized crystal structure of Hf2BiPb.

Calculated values
Its energy above the lowest structure with this stoichiometry is 60 meV/atom. The total magnetization comes out at 0.0 Bohr magnetons per cell. The formation energy is 66 kJ/mol of formula units.

Cell lengths 4.1682, 4.1682, 7.4790 Å; angles 73.82, 73.82, 60.00 degrees
Last column: nearest neighbours and their distance in Å.
Atoms (fractional coordinates):
Pb (0.4985, 0.4985, 0.5045)  6 Hf 2.97-3.00
Hf (0.0836, 0.0836, 0.7491)  3 Pb 2.97, 3 Bi 2.97
Hf (0.2492, 0.2492, 0.2524)  3 Pb 3.00, 3 Bi 3.02
Bi (0.6687, 0.6687, 0.9940)  6 Hf 2.97-3.02

***

No. 8
VASP calculation (PBE-GGA) on an optimized crystal structure of Hf2BiPb.

Calculated values
Its energy above the lowest structure with this stoichiometry is 33 meV/atom. The total magnetization comes out at 0.0 Bohr magnetons per cell. The formation energy is 55 kJ/mol of formula units.

Cell lengths 4.2001, 4.2001, 7.2873 Å; angles 73.25, 73.25, 60.00 degrees
Last column: nearest neighbours and their distance in Å.
Atoms (fractional coordinates):
Hf (0.2466, 0.2466, 0.2601)  3 Pb 2.93, 3 Bi 3.01
Hf (0.7534, 0.7534, 0.7399)  3 Pb 2.93, 3 Bi 3.01
Bi (0.0000, 0.0000, 0.0000)  6 Hf 3.01
Pb (0.5000, 0.5000, 0.5000)  6 Hf 2.93

***

No. 9
VASP calculation (PBE-GGA) on an optimized crystal structure of Hf6BiPb.

Calculated values
Its energy above the lowest structure with this stoichiometry is 3 meV/atom. The total magnetization comes out at 0.0 Bohr magnetons per cell. The formation energy is -7 kJ/mol of formula units.

Cell lengths 7.8585, 7.8470, 5.6589 Å; angles 46.18, 46.08, 59.78 degrees
Last column: nearest neighbours and their distance in Å.
Atoms (fractional coordinates):
Hf (0.7510, 0.9898, 0.7509)  2 Hf 2.83-2.85, 1 Pb 3.16, 1 Bi 3.16
Hf (0.5114, 0.7511, 0.7461)  2 Hf 2.82-2.85, 1 Bi 3.16
Hf (0.9910, 0.5101, 0.7477)  2 Hf 2.82-2.85
Hf (0.2490, 0.0102, 0.2491)  2 Hf 2.83-2.85, 1 Pb 3.16, 1 Bi 3.16
Hf (0.0090, 0.4899, 0.2523)  2 Hf 2.82-2.85
Hf (0.4886, 0.2489, 0.2539)  2 Hf 2.82-2.85, 1 Bi 3.16
Bi (0.5000, 0.5000, 0.5000)  12 Hf 3.16-3.18
Pb (0.0000, 0.0000, 0.0000)  12 Hf 3.16-3.17

***

No. 10
VASP calculation (PBE-GGA) on an optimized crystal structure of Hf2BiPb2.

Calculated values
Its energy above the lowest structure with this stoichiometry is 442 meV/atom. The total magnetization comes out at 0.0 Bohr magnetons per cell. The formation energy is 239 kJ/mol of formula units.

Cell lengths 4.2880, 4.2880, 8.1762 Å; angles 74.80, 74.80, 90.00 degrees
Last column: nearest neighbours and their distance in Å.
Atoms (fractional coordinates):
Bi (0.0000, 0.0000, 0.0000)  8 Pb 3.41
Pb (0.6027, 0.6027, 0.7946)  4 Hf 3.10, 1 Pb 3.12, 4 Bi 3.41
Pb (0.3973, 0.3973, 0.2054)  4 Hf 3.10, 1 Pb 3.12, 4 Bi 3.41
Hf (0.7500, 0.2500, 0.5000)  4 Hf 3.03, 4 Pb 3.10
Hf (0.2500, 0.7500, 0.5000)  4 Hf 3.03, 4 Pb 3.10

***

No. 11
VASP calculation (PBE-GGA) on an optimized crystal structure of Hf7Bi2Pb.

Calculated values
The total magnetization comes out at 0.2 Bohr magnetons per cell. The formation energy is 670 kJ/mol of formula units.

Cell lengths 4.8508, 8.4723, 8.4723 Å; angles 122.46, 90.00, 90.00 degrees
Last column: nearest neighbours and their distance in Å.
Atoms (fractional coordinates):
Hf (0.5000, 0.9321, 0.7168)  5 Hf 2.86-3.20, 1 Bi 2.95
Hf (0.5000, 0.5000, 0.5000)  2 Bi 2.91, 4 Hf 3.09
Hf (0.0000, 0.8009, 0.1991)  2 Bi 2.89, 1 Pb 2.96, 4 Hf 3.13
Hf (0.0000, 0.1991, 0.8009)  2 Bi 2.89, 1 Pb 2.96, 4 Hf 3.13
Hf (0.5000, 0.7168, 0.9321)  5 Hf 2.86-3.20, 1 Bi 2.95
Hf (0.5000, 0.0679, 0.2832)  5 Hf 2.86-3.20, 1 Bi 2.95
Hf (0.5000, 0.2832, 0.0679)  5 Hf 2.86-3.20, 1 Bi 2.95
Bi (0.5000, 0.3043, 0.6957)  5 Hf 2.89-2.95
Bi (0.5000, 0.6957, 0.3043)  5 Hf 2.89-2.95
Pb (0.0000, 0.0000, 0.0000)  10 Hf 2.96-3.24

***

No. 12
VASP calculation (PBE-GGA) on an optimized crystal structure of Hf2BiPb.

Calculated values
Its energy above the lowest structure with this stoichiometry is 6 meV/atom. The total magnetization comes out at 0.0 Bohr magnetons per cell. The formation energy is 45 kJ/mol of formula units.

Cell lengths 3.6603, 3.6603, 7.1549 Å; angles 90.00, 90.00, 90.00 degrees
Last column: nearest neighbours and their distance in Å.
Atoms (fractional coordinates):
Bi (0.5000, 0.5000, 0.0000)  8 Hf 3.11
Hf (0.0000, 0.0000, 0.2400)  4 Bi 3.11, 4 Pb 3.19, 1 Hf 3.43
Hf (0.0000, 0.0000, 0.7600)  4 Bi 3.11, 4 Pb 3.19, 1 Hf 3.43
Pb (0.5000, 0.5000, 0.5000)  8 Hf 3.19

***

Here are the calculated DFT total energy numbers, same order: -7.49; -3.80; -6.07; -7.40; -6.76; -6.73; -6.70; -6.73; -8.42; -5.75; -7.42; -6.76 (eV/atom).